{"formula": "CaLa4Cu", "functional": "PBE", "state": "optimized geometry", "dos_ef_per_ev_cell": 9.4, "energy_ev_per_fu": -22.988, "cell": [[0.000, 4.708, 4.708], [4.708, 0.000, 4.708], [4.708, 4.708, 0.000]], "species": ["La", "Ca", "Cu", "La", "La", "La"], "fractional_positions": [[0.373, 0.881, 0.373], [0.750, 0.750, 0.750], [0.000, 0.000, 0.000], [0.373, 0.373, 0.881], [0.373, 0.373, 0.373], [0.881, 0.373, 0.373]]}

---

{"formula": "CaLa2Cu2", "functional": "PBE", "state": "optimized geometry", "dos_ef_per_ev_cell": 2.3, "de_polymorph_mev_per_atom": 142, "cell": [[5.632, 0.000, 0.000], [0.000, 5.632, 0.000], [2.816, 2.816, 4.465]], "species": ["Cu", "La", "Ca", "Cu", "La"], "fractional_positions": [[0.369, 0.369, 0.262], [0.250, 0.750, 0.500], [0.000, 0.000, 0.000], [0.631, 0.631, 0.738], [0.750, 0.250, 0.500]]}

---

{"formula": "Ca2LaCu", "functional": "PBE", "state": "optimized geometry", "dos_ef_per_ev_cell": 5.8, "de_polymorph_mev_per_atom": 58, "cell": [[3.569, 0.000, 0.000], [0.000, 3.566, -0.002], [0.000, 3.569, 9.704]], "species": ["Ca", "La", "Cu", "Ca"], "fractional_positions": [[0.000, 0.933, 0.067], [0.500, 0.750, 0.750], [0.500, 0.250, 0.250], [0.000, 0.567, 0.433]]}

---

{"formula": "Ca2LaCu", "functional": "PBE", "state": "optimized geometry", "dos_ef_per_ev_cell": 3.5, "de_polymorph_mev_per_atom": 338, "cell": [[0.000, 3.882, 3.882], [3.882, 0.000, 3.882], [3.882, 3.882, 0.000]], "species": ["Ca", "La", "Ca", "Cu"], "fractional_positions": [[0.250, 0.250, 0.250], [0.500, 0.500, 0.500], [0.750, 0.750, 0.750], [0.000, 0.000, 0.000]]}

---

{"formula": "CaLaCu", "functional": "PBE", "state": "optimized geometry", "dos_ef_per_ev_cell": 4.5, "de_polymorph_mev_per_atom": 137, "cell": [[4.823, 0.215, 0.850], [-0.379, 5.428, 0.777], [-1.079, -1.709, 6.584]], "species": ["La", "La", "Ca", "Cu", "Cu", "Ca"], "fractional_positions": [[0.500, 0.072, 0.244], [0.500, 0.928, 0.756], [0.999, 0.423, 0.746], [0.000, 0.000, 0.000], [0.500, 0.500, 0.500], [0.001, 0.577, 0.254]]}

---

{"formula": "CaLaCu", "functional": "PBE", "state": "optimized geometry", "dos_ef_per_ev_cell": 3.8, "de_polymorph_mev_per_atom": 165, "cell": [[-3.859, -0.105, 1.033], [1.625, -3.073, -1.973], [1.725, -3.027, 6.134]], "species": ["Ca", "Cu", "La"], "fractional_positions": [[0.000, 0.000, 0.074], [0.333, 0.667, 0.337], [0.667, 0.333, 0.589]]}

---

{"formula": "Ca2LaCu", "functional": "PBE", "state": "optimized geometry", "dos_ef_per_ev_cell": 3.1, "de_polymorph_mev_per_atom": 231, "cell": [[-3.802, -3.290, 2.321], [0.473, -3.529, -4.242], [4.490, 1.495, 2.871]], "species": ["La", "Ca", "Cu", "Ca"], "fractional_positions": [[0.750, 0.250, 0.500], [0.250, 0.750, 0.500], [0.500, 0.500, 0.000], [0.000, 0.000, 0.000]]}

---

{"formula": "CaLaCu2", "functional": "PBE", "state": "optimized geometry", "dos_ef_per_ev_cell": 3.5, "energy_ev_per_fu": -15.552, "cell": [[5.126, -0.012, 0.015], [0.011, 5.126, 0.015], [-0.010, -0.009, 3.561]], "species": ["La", "Cu", "Cu", "Ca"], "fractional_positions": [[0.500, 0.000, 0.500], [0.000, 0.000, 0.000], [0.500, 0.500, 0.000], [0.000, 0.500, 0.500]]}

---

{"formula": "Ca2LaCu", "functional": "PBE", "state": "optimized geometry", "dos_ef_per_ev_cell": 4.5, "de_polymorph_mev_per_atom": 310, "cell": [[6.740, -0.007, 0.012], [-3.371, 5.836, 0.012], [0.813, 1.407, 3.219]], "species": ["Ca", "Ca", "Cu", "La"], "fractional_positions": [[0.000, 0.000, 0.000], [0.500, 0.500, 0.000], [0.500, 0.000, 0.500], [0.000, 0.500, 0.500]]}

---

{"formula": "CaLaCu2", "functional": "PBE", "state": "optimized geometry", "dos_ef_per_ev_cell": 4.6, "energy_ev_per_fu": -14.947, "cell": [[4.235, 0.000, 0.000], [0.000, 4.221, 0.000], [0.000, 0.000, 5.998]], "species": ["Cu", "Cu", "Ca", "La"], "fractional_positions": [[0.000, 0.000, 0.873], [0.500, 0.500, 0.377], [0.500, 0.500, 0.876], [0.000, 0.000, 0.373]]}

---

{"formula": "CaLaCu2", "functional": "PBE", "state": "optimized geometry", "dos_ef_per_ev_cell": 3.3, "energy_ev_per_fu": -15.137, "cell": [[3.479, 0.000, 0.000], [0.000, 3.479, 0.000], [0.000, 0.000, 7.980]], "species": ["La", "Cu", "Ca", "Cu"], "fractional_positions": [[0.000, 0.000, 0.424], [0.000, 0.000, 0.060], [0.500, 0.500, 0.828], [0.500, 0.500, 0.189]]}

---

{"formula": "CaLaCu2", "functional": "PBE", "state": "optimized geometry", "dos_ef_per_ev_cell": 3.1, "energy_ev_per_fu": -11.812, "cell": [[5.731, -0.941, -2.941], [-1.957, 5.469, 2.941], [-4.006, -0.497, 5.108]], "species": ["La", "Cu", "Ca", "Cu"], "fractional_positions": [[0.000, 0.500, 0.500], [0.000, 0.249, 0.249], [0.000, 0.000, 0.000], [0.000, 0.751, 0.751]]}